Entry 1:
Material: Tm3Au
Method: DFT, PBE
State: optimized geometry

Structure (POSCAR):
```
Tm3Au
1.0
-1.8285 2.6025 5.5536
1.8285 -2.6025 5.5536
1.8285 2.6025 -5.5536
Tm Au
3 1
Cartesian
0.0000 0.0000 0.0000 Tm
1.8285 0.0000 3.2309 Tm
0.0000 2.6025 2.3227 Tm
0.0000 0.0000 5.5536 Au
```

Properties
spin magnetization: 0.00 μB/cell
formation energy: -426 meV/atom

Entry 2:
Material: YTmAu4
Method: DFT, PBE
State: optimized geometry

Structure (POSCAR):
```
YTmAu4
1.0
3.7275 0.0000 0.0000
0.0000 3.7275 0.0000
0.0000 0.0000 9.0609
Y Tm Au
1 1 4
Cartesian
0.0000 0.0000 0.0000 Y
1.8638 1.8638 4.5304 Tm
0.0000 0.0000 3.0615 Au
0.0000 0.0000 5.9994 Au
1.8638 1.8638 1.5200 Au
1.8638 1.8638 7.5409 Au
```

Properties
spin magnetization: 0.00 μB/cell
formation energy: -872 meV/atom
offset from the most stable computed form: 0 meV per atom

Entry 3:
Material: YTmAu4
Method: DFT, PBE
State: optimized geometry

Structure (POSCAR):
```
YTmAu4
1.0
4.0619 -4.2670 0.0000
4.0619 4.2670 0.0000
-2.4976 0.0000 3.7589
Y Tm Au
1 1 4
Cartesian
0.0000 0.0000 0.0000 Y
2.8131 0.6599 1.8794 Tm
0.0254 1.6686 2.7295 Au
0.3268 -1.0456 2.9322 Au
5.6008 1.6686 1.0294 Au
5.2994 -1.0456 0.8267 Au
```

Properties
spin magnetization: 0.00 μB/cell
formation energy: -756 meV/atom
offset from the most stable computed form: 116 meV per atom

Entry 4:
Material: YTm2Au4
Method: DFT, PBE
State: optimized geometry

Structure (POSCAR):
```
YTm2Au4
1.0
-3.5161 3.5161 3.4659
3.5161 -3.5161 3.4659
3.5161 3.5161 -3.4659
Y Tm Au
1 2 4
Cartesian
0.0000 0.0000 0.0000 Y
3.5161 0.0000 0.0000 Tm
0.0000 3.5161 0.0000 Tm
1.7581 1.7581 -1.7329 Au
1.7581 -1.7581 1.7329 Au
-1.7581 1.7581 1.7329 Au
1.7581 1.7581 1.7329 Au
```

Properties
spin magnetization: 0.00 μB/cell
formation energy: -684 meV/atom